# 1
Computed, not measured: a relaxed AcPm4Pr crystal at the PBE level of DFT.

Excess energy over the best structure of this formula in the dataset in eV per atom: 0.003
Calculated total energy in eV per cell: -55.45
Energy relative to the elements in eV per atom: 0.03
Calculated density in g cm⁻³: 7.23

Lattice parameters (Å, degrees): 3.7351 12.3257 10.4513 115.15 90.00 90.00
Closest atoms and distances in Å follow each position.
Element x y z (fractional)
Pm  0.4999  0.8315  0.1698  7 Pm 3.63-3.75, 3 Pr 3.69-3.70, 2 Ac 3.75
Pm  0.0001  0.3315  0.6698  7 Pm 3.63-3.75, 3 Pr 3.69-3.70, 2 Ac 3.75
Pm  0.0000  0.3321  0.1615  2 Pr 3.69, 7 Pm 3.69-3.77, 3 Ac 3.71-3.75
Pm  0.5001  0.1685  0.8302  7 Pm 3.63-3.75, 3 Pr 3.69-3.70, 2 Ac 3.75
Pm  0.5000  0.1679  0.3385  2 Pr 3.69, 7 Pm 3.69-3.77, 3 Ac 3.71-3.75
Pm  0.0000  0.6679  0.8385  2 Pr 3.69, 7 Pm 3.69-3.77, 3 Ac 3.71-3.75
Pm  0.9999  0.6685  0.3302  7 Pm 3.63-3.75, 3 Pr 3.69-3.70, 2 Ac 3.75
Pr  0.5000  0.5000  0.0000  10 Pm 3.69-3.70, 2 Pr 3.74
Ac  0.0000  0.0000  0.0000  10 Pm 3.71-3.75, 2 Ac 3.74
Pm  0.5000  0.8321  0.6615  2 Pr 3.69, 7 Pm 3.69-3.77, 3 Ac 3.71-3.75
Ac  0.5000  0.5000  0.5000  10 Pm 3.71-3.75, 2 Ac 3.74
Pr  0.0000  0.0000  0.5000  10 Pm 3.69-3.70, 2 Pr 3.74

=====

# 2
Computed, not measured: a relaxed ReAs2W crystal at the PBE level of DFT.

Excess energy over the best structure of this formula in the dataset in eV per atom: 0.000
Calculated total energy in eV per cell: -34.22
Energy relative to the elements in eV per atom: 0.12
Calculated density in g cm⁻³: 12.13

Lattice parameters (Å, degrees): 2.9811 2.9811 8.0054 90.00 90.00 90.00
Closest atoms and distances in Å follow each position.
Element x y z (fractional)
W  0.5000  0.5000  0.7289  4 As 2.75, 4 Re 2.75, 4 W 2.98
As  0.0000  0.0000  0.9491  4 W 2.75, 4 As 2.98
Re  0.0000  0.0000  0.5082  4 As 2.62, 4 W 2.75
As  0.5000  0.5000  0.3138  4 Re 2.62

=====

# 3
Computed, not measured: a relaxed InTcCl2 crystal at the PBE level of DFT.

Excess energy over the best structure of this formula in the dataset in eV per atom: 0.295
Calculated total energy in eV per cell: -16.75
Calculated density in g cm⁻³: 5.65

Lattice parameters (Å, degrees): 3.1403 3.1403 8.4575 90.00 90.00 90.00
Closest atoms and distances in Å follow each position.
Element x y z (fractional)
Cl  0.5000  0.5000  0.3090  4 In 2.89, 4 Cl 3.14
Cl  0.0000  0.0000  0.9129  4 Tc 2.61
Tc  0.5000  0.5000  0.7510  4 Cl 2.61, 4 In 2.92
In  0.0000  0.0000  0.5270  4 Cl 2.89, 4 Tc 2.92, 4 In 3.14

=====

# 4
Computed, not measured: a relaxed Dy6InPb5 crystal at the PBE level of DFT.

Calculated total energy in eV per cell: -54.15
Energy relative to the elements in eV per atom: -0.44
Calculated density in g cm⁻³: 10.56

Lattice parameters (Å, degrees): 4.9904 8.8821 7.9443 90.00 71.69 90.00
Closest atoms and distances in Å follow each position.
Element x y z (fractional)
Pb  0.3324  0.5000  0.3351  8 Dy 3.37-3.38, 4 Pb 3.52-3.55
Pb  0.6676  0.5000  0.6649  8 Dy 3.37-3.38, 4 Pb 3.52-3.55
Dy  0.8340  0.2458  0.3320  7 Pb 3.32-3.38, 1 In 3.32, 4 Dy 3.53-3.56
Dy  0.1660  0.7542  0.6680  7 Pb 3.32-3.38, 1 In 3.32, 4 Dy 3.53-3.56
Pb  0.3370  0.0000  0.3260  8 Dy 3.30-3.38, 2 In 3.50, 2 Pb 3.62
Pb  0.0000  0.5000  0.0000  8 Dy 3.35-3.37, 4 Pb 3.55
Dy  0.8340  0.7542  0.3320  7 Pb 3.32-3.38, 1 In 3.32, 4 Dy 3.53-3.56
Dy  0.1660  0.2458  0.6680  7 Pb 3.32-3.38, 1 In 3.32, 4 Dy 3.53-3.56
Pb  0.6630  0.0000  0.6740  8 Dy 3.30-3.38, 2 In 3.50, 2 Pb 3.62
In  0.0000  0.0000  0.0000  8 Dy 3.32-3.33, 4 Pb 3.50
Dy  0.5000  0.7514  0.0000  6 Pb 3.30-3.37, 2 In 3.33, 4 Dy 3.53
Dy  0.5000  0.2486  0.0000  6 Pb 3.30-3.37, 2 In 3.33, 4 Dy 3.53

=====

# 5
Computed, not measured: a relaxed NdSmHg2 crystal at the PBE level of DFT.

Excess energy over the best structure of this formula in the dataset in eV per atom: 0.000
Calculated total energy in eV per cell: -11.98
Energy relative to the elements in eV per atom: -0.47
Calculated density in g cm⁻³: 10.39

Lattice parameters (Å, degrees): 3.8137 3.8137 7.6447 90.00 90.00 90.00
Closest atoms and distances in Å follow each position.
Element x y z (fractional)
Nd  0.5000  0.5000  0.5000  8 Hg 3.34
Sm  0.5000  0.5000  0.0000  8 Hg 3.28
Hg  0.0000  0.0000  0.7569  4 Sm 3.28, 4 Nd 3.34
Hg  0.0000  0.0000  0.2431  4 Sm 3.28, 4 Nd 3.34

=====

# 6
Computed, not measured: a relaxed BaZrTe2 crystal at the PBE level of DFT.

Excess energy over the best structure of this formula in the dataset in eV per atom: 0.285
Calculated total energy in eV per cell: -19.98
Calculated density in g cm⁻³: 5.60

Lattice parameters (Å, degrees): 4.2257 4.2257 8.0385 90.00 90.00 90.00
Closest atoms and distances in Å follow each position.
Element x y z (fractional)
Te  0.5000  0.5000  0.3600  4 Zr 2.99
Te  0.0000  0.0000  0.9945  1 Zr 2.86
Ba  0.5000  0.5000  0.7950  5 Te 3.39-3.50
Zr  0.0000  0.0000  0.3505  5 Te 2.86-2.99

=====

# 7
Computed, not measured: a relaxed CsRbPb3 crystal at the PBE level of DFT.

Excess energy over the best structure of this formula in the dataset in eV per atom: 0.747
Calculated total energy in eV per cell: -8.96
Energy relative to the elements in eV per atom: 0.80
Calculated density in g cm⁻³: 4.96

Lattice parameters (Å, degrees): 6.5536 6.5536 6.5536 90.00 90.00 90.00
Closest atoms and distances in Å follow each position.
Element x y z (fractional)
Pb  0.5000  0.0000  0.0000  2 Cs 3.28
Cs  0.0000  0.0000  0.0000  6 Pb 3.28
Rb  0.5000  0.5000  0.5000  12 Pb 4.63
Pb  0.0000  0.5000  0.0000  2 Cs 3.28
Pb  0.0000  0.0000  0.5000  2 Cs 3.28

=====

# 8
Computed, not measured: a relaxed La7Pr2Hg2 crystal at the PBE level of DFT.

Excess energy over the best structure of this formula in the dataset in eV per atom: 0.000
Calculated total energy in eV per cell: -45.57
Energy relative to the elements in eV per atom: -0.08
Calculated density in g cm⁻³: 7.08

Lattice parameters (Å, degrees): 3.8253 10.7127 10.7127 64.88 79.72 79.72
Closest atoms and distances in Å follow each position.
Element x y z (fractional)
La  0.8540  0.4607  0.8314  2 Hg 3.23, 2 Pr 3.54
Hg  0.0000  0.7870  0.2130  8 La 3.24-3.42
Hg  0.5000  0.3438  0.6562  7 La 3.23-3.57
La  0.1460  0.1686  0.5393  2 Hg 3.23, 2 Pr 3.54
La  0.5000  0.0332  0.9668  3 Hg 3.42-3.57
Pr  0.7212  0.8617  0.6958  7 La 3.39-3.64
Pr  0.2788  0.3042  0.1383  7 La 3.39-3.64
La  0.6039  0.4954  0.2969  3 Hg 3.42-3.46, 2 Pr 3.64, 5 La 3.67-3.83
La  0.8208  0.0273  0.3311  1 Hg 3.24, 3 Pr 3.39-3.52
La  0.3961  0.7031  0.5046  3 Hg 3.42-3.46, 2 Pr 3.64, 5 La 3.67-3.83
La  0.1792  0.6689  0.9727  1 Hg 3.24, 3 Pr 3.39-3.52

=====

# 9
Computed, not measured: a relaxed MgHOF2 crystal at the PBE level of DFT.

Excess energy over the best structure of this formula in the dataset in eV per atom: 0.191
Calculated total energy in eV per cell: -19.04
Calculated density in g cm⁻³: 2.04

Lattice parameters (Å, degrees): 3.8433 3.8433 4.3603 90.00 90.00 90.00
Closest atoms and distances in Å follow each position.
Element x y z (fractional)
F  0.5000  0.0000  0.0000  2 Mg 1.92
O  0.0000  0.0000  0.5000  2 Mg 2.18
Mg  0.0000  0.0000  0.0000  4 F 1.92
F  0.0000  0.5000  0.0000  2 Mg 1.92
H  0.5000  0.5000  0.5000  4 O 2.72, 8 F 2.91

=====

# 10
Computed, not measured: a relaxed HoPd3Au6 crystal at the PBE level of DFT.

Excess energy over the best structure of this formula in the dataset in eV per atom: 0.000
Calculated total energy in eV per cell: -86.65
Energy relative to the elements in eV per atom: -0.35
Calculated density in g cm⁻³: 15.44

Lattice parameters (Å, degrees): 4.8496 7.7192 10.6158 115.59 90.00 90.00
Closest atoms and distances in Å follow each position.
Element x y z (fractional)
Ho  0.7500  0.0684  0.3681  2 Pd 2.89-2.90, 10 Au 2.97-3.00
Au  0.7500  0.1793  0.6750  5 Au 2.82-3.09, 4 Pd 2.86-2.91, 3 Ho 2.99-3.00
Au  0.7500  0.3694  0.2606  6 Au 2.80-2.97, 5 Pd 2.88-3.02, 1 Ho 3.00
Au  0.7500  0.8630  0.7687  2 Pd 2.86-2.88, 8 Au 2.89-3.01, 2 Ho 2.99
Ho  0.2500  0.9316  0.6319  2 Pd 2.89-2.90, 10 Au 2.97-3.00
Au  0.2500  0.2465  0.5392  5 Au 2.80-3.09, 4 Pd 2.88-2.92, 3 Ho 2.99
Pd  0.7500  0.4687  0.5684  9 Au 2.86-3.02, 1 Ho 2.90, 2 Pd 2.97
Pd  0.2500  0.7383  0.0354  9 Au 2.86-2.93, 3 Pd 2.94-2.95
Au  0.7500  0.7535  0.4608  5 Au 2.80-3.09, 4 Pd 2.88-2.92, 3 Ho 2.99
Au  0.2500  0.4346  0.1251  5 Au 2.82-2.97, 7 Pd 2.83-3.01
Au  0.2500  0.8207  0.3250  5 Au 2.82-3.09, 4 Pd 2.86-2.91, 3 Ho 2.99-3.00
Pd  0.7500  0.2617  0.9646  9 Au 2.86-2.93, 3 Pd 2.94-2.95
Au  0.2500  0.1370  0.2313  2 Pd 2.86-2.88, 8 Au 2.89-3.01, 2 Ho 2.99
Au  0.7500  0.5654  0.8749  5 Au 2.82-2.97, 7 Pd 2.83-3.01
Pd  0.2500  0.3293  0.8349  8 Au 2.83-2.95, 1 Ho 2.89, 3 Pd 2.94-2.95
Pd  0.7500  0.6707  0.1651  8 Au 2.83-2.95, 1 Ho 2.89, 3 Pd 2.94-2.95
Pd  0.2500  0.5313  0.4316  9 Au 2.86-3.02, 1 Ho 2.90, 2 Pd 2.97
Au  0.7500  0.9626  0.0640  7 Au 2.85-2.96, 4 Pd 2.88-2.92, 1 Ho 2.97
Au  0.2500  0.6306  0.7394  6 Au 2.80-2.97, 5 Pd 2.88-3.02, 1 Ho 3.00
Au  0.2500  0.0374  0.9360  7 Au 2.85-2.96, 4 Pd 2.88-2.92, 1 Ho 2.97

=====

Number 1: spin magnetization 0.00 μB per cell. Number 2: spin magnetization 0.00 μB per cell. Number 3: spin magnetization 0.00 μB per cell. Number 4: spin magnetization 0.00 μB per cell. Number 5: spin magnetization 0.84 μB per cell. Number 6: spin magnetization 1.27 μB per cell. Number 7: spin magnetization 0.00 μB per cell. Number 8: spin magnetization 0.03 μB per cell. Number 9: spin magnetization 1.00 μB per cell. Number 10: spin magnetization 0.00 μB per cell.